Density functional theory data (PBE) for a relaxed structure of AcPd4Au6.

Values from the calculation:
Calculated volume (A^3/atom): 21.31
Calculated formation energy (meV per atom): -159
VASP energy (eV per cell): -92.6

Geometry as CIF:
```
data_AcPd4Au6
_chemical_formula_sum 'Ac2 Pd8 Au12'
_symmetry_space_group_name_H-M 'I -4 2 m'
_symmetry_Int_Tables_number 121
_symmetry_space_group_name_Hall 'I -4 2'
_cell_length_a 6.770
_cell_length_b 6.770
_cell_length_c 10.228
_cell_angle_alpha 90.00
_cell_angle_beta 90.00
_cell_angle_gamma 90.00
loop_
_atom_site_label
_atom_site_fract_x
_atom_site_fract_y
_atom_site_fract_z
_atom_site_occupancy
Ac1 0.000 0.000 0.000 1
Pd1 0.155 0.155 0.589 1
Au1 0.000 0.500 0.000 1
Au2 0.221 0.221 0.319 1
```